Entry one
Cs3Ge2Br7 | GGA-PBE | optimized geometry

Cell lengths 15.178, 15.178, 15.178 Å; angles 158.68, 158.68, 30.33 degrees
Atoms (fractional coordinates):
Cs 0.000 0.000 0.000
Cs 0.181 0.181 0.000
Cs 0.819 0.819 0.000
Ge 0.402 0.402 0.000
Ge 0.598 0.598 0.000
Br 0.096 0.596 0.500
Br 0.307 0.307 0.000
Br 0.404 0.904 0.500
Br 0.500 0.500 0.000
Br 0.596 0.096 0.500
Br 0.693 0.693 0.000
Br 0.904 0.404 0.500

=====

Entry two
Cs3Ge2Br7 | GGA-PBE | optimized geometry

Cell lengths 14.753, 14.753, 5.558 Å; angles 90.00, 90.00, 157.91 degrees
Atoms (fractional coordinates):
Cs 0.000 0.000 0.000
Cs 0.183 0.817 0.000
Cs 0.817 0.183 0.000
Ge 0.400 0.600 0.500
Ge 0.600 0.400 0.500
Br 0.097 0.903 0.500
Br 0.305 0.695 0.500
Br 0.402 0.598 0.000
Br 0.500 0.500 0.500
Br 0.598 0.402 0.000
Br 0.695 0.305 0.500
Br 0.903 0.097 0.500

=====

Pick the least stable structure from those above. Pick: entry two